Record 1
An optimized crystal structure of Sm4Y5Er4. Source: the Alexandria database, functional PBE.

symmetry = I4/m (87)
energy = -5.322 eV/atom

a = 5.041 Å, b = 9.445 Å, c = 9.445 Å
α = 85.92°, β = 74.52°, γ = 74.52°
Atoms (fractional coordinates):
Y1 0.000 0.000 0.000
Sm1 0.617 0.306 0.460
Y2 0.692 0.847 0.770
Sm2 0.383 0.694 0.540
Er1 0.231 0.615 0.924
Y3 0.308 0.153 0.230
Er2 0.846 0.924 0.385
Er3 0.154 0.076 0.615
Y4 0.539 0.770 0.153
Sm3 0.923 0.460 0.694
Sm4 0.077 0.540 0.306
Y5 0.461 0.230 0.847
Er4 0.769 0.385 0.076

=====

Record 2
An optimized crystal structure of KRu2Br. Source: the Alexandria database, functional PBE.

symmetry = R-3m (166)
energy = -4.144 eV/atom

a = 9.882 Å, b = 9.882 Å, c = 9.882 Å
α = 17.65°, β = 17.65°, γ = 17.65°
Site moments in Bohr magnetons follow the coordinates.
Atoms (fractional coordinates):
Br1 0.250 0.250 0.250  0.04
Ru1 0.516 0.516 0.516  0.36
Ru2 0.984 0.984 0.984  0.36
K1 0.750 0.750 0.750  0.02

=====

Record 3
An optimized crystal structure of PaRu2PbO8. Source: the Alexandria database, functional PBE.

symmetry = P-3m1 (164)
energy = -7.370 eV/atom

a = 5.890 Å, b = 5.890 Å, c = 7.123 Å
α = 90.00°, β = 90.00°, γ = 120.00°
Site moments in Bohr magnetons follow the coordinates.
Atoms (fractional coordinates):
Ru1 0.333 0.667 0.804  0.18
O1 0.837 0.673 0.303  0.02
O2 0.667 0.333 0.950  0.02
O3 0.327 0.164 0.303  0.02
O4 0.673 0.836 0.697  0.02
Ru2 0.667 0.333 0.196  0.18
O5 0.164 0.837 0.697  0.02
Pa1 0.000 0.000 0.500  -0.01
Pb1 0.000 0.000 0.000  0.00
O6 0.163 0.327 0.697  0.02
O7 0.836 0.163 0.303  0.02
O8 0.333 0.667 0.050  0.02

=====

Record 4
An optimized crystal structure of CaMg4Re. Source: the Alexandria database, functional PBE.

symmetry = F-43m (216)
energy = -2.983 eV/atom

a = 5.670 Å, b = 5.670 Å, c = 5.670 Å
α = 60.00°, β = 60.00°, γ = 60.00°
Site moments in Bohr magnetons follow the coordinates.
Atoms (fractional coordinates):
Mg1 0.870 0.377 0.377  0.01
Ca1 0.000 0.000 0.000  0.06
Mg2 0.377 0.377 0.870  0.01
Mg3 0.377 0.870 0.377  0.01
Mg4 0.377 0.377 0.377  0.01
Re1 0.750 0.750 0.750  1.68

=====

Record 5
An optimized crystal structure of Y3MgW. Source: the Alexandria database, functional PBE.

symmetry = Pm-3m (221)
energy = -6.237 eV/atom

a = 5.454 Å, b = 5.454 Å, c = 5.454 Å
α = 90.00°, β = 90.00°, γ = 90.00°
Atoms (fractional coordinates):
Y1 0.000 0.500 0.000
Y2 0.500 0.000 0.000
Mg1 0.500 0.500 0.500
Y3 0.000 0.000 0.500
W1 0.000 0.000 0.000

=====

Record 6
An optimized crystal structure of BaMn2Se. Source: the Alexandria database, functional PBE.

symmetry = R3m (160)
energy = -6.134 eV/atom

a = 4.137 Å, b = 4.137 Å, c = 6.573 Å
α = 71.65°, β = 71.65°, γ = 60.01°
Site moments in Bohr magnetons follow the coordinates.
Atoms (fractional coordinates):
Mn1 0.740 0.740 0.781  -2.61
Mn2 0.053 0.053 0.841  2.76
Se1 0.457 0.457 0.628  0.01
Ba1 0.250 0.250 0.249  -0.02

=====

Record 7
An optimized crystal structure of HoPu2Bi3. Source: the Alexandria database, functional PBE.

symmetry = Immm (71)
energy = -7.969 eV/atom

a = 4.509 Å, b = 6.380 Å, c = 7.816 Å
α = 114.09°, β = 106.77°, γ = 90.00°
Site moments in Bohr magnetons follow the coordinates.
Atoms (fractional coordinates):
Bi1 0.500 0.500 0.000  -0.15
Bi2 0.835 0.835 0.670  -0.14
Bi3 0.165 0.165 0.330  -0.14
Ho1 0.500 0.000 0.000  -0.11
Pu1 0.167 0.667 0.334  5.23
Pu2 0.833 0.333 0.666  5.23

=====

Record 8
An optimized crystal structure of Ce4Te8Pd3. Source: the Alexandria database, functional PBE.

symmetry = P-4m2 (115)
energy = -5.325 eV/atom

a = 4.578 Å, b = 4.578 Å, c = 18.897 Å
α = 90.00°, β = 90.00°, γ = 90.00°
Site moments in Bohr magnetons follow the coordinates.
Atoms (fractional coordinates):
Pd1 0.500 0.500 0.500  -0.03
Te1 0.500 0.500 0.247  -0.01
Ce1 0.500 0.000 0.373  0.78
Pd2 0.000 0.000 0.000  -0.04
Te2 0.500 0.000 0.585  -0.03
Te3 0.000 0.500 0.923  -0.03
Ce2 0.500 0.000 0.880  0.82
Ce3 0.000 0.500 0.627  0.78
Te4 0.000 0.000 0.754  -0.02
Pd3 0.000 0.000 0.500  -0.03
Te5 0.000 0.500 0.415  -0.03
Ce4 0.000 0.500 0.120  0.82
Te6 0.500 0.500 0.753  -0.01
Te7 0.000 0.000 0.246  -0.02
Te8 0.500 0.000 0.077  -0.03

=====

Which formula does entry 3 have? PaRu2PbO8